# BAsH2

Crystalline BAsH2 at its relaxed geometry (PBE-GGA, the Alexandria database).

**Energy above the most stable polymorph in this dataset**: 514 kJ/mol of formula units
**V**: 123.4 Å³ per cell
**Raw total energy**: -12.76 eV per formula unit
**Magnetization**: 0.000 μB/f.u.
**DOS(E_F)**: 4.73 states/eV per cell

a = 4.9783 Å, b = 4.9783 Å, c = 4.9783 Å
α = 90.00°, β = 90.00°, γ = 90.00°
Closest atoms and distances in Å follow each position.
Space group Fm-3m (No. 225)
Symmetry-distinct sites (fractional):
B: 0.0000 0.0000 0.0000  8 H 2.16
As: 0.0000 0.0000 0.5000  8 H 2.16
H: 0.2500 0.2500 0.2500  4 As 2.16, 4 B 2.16